VASP calculation (PBE) on an optimized crystal structure of CaZnFe.

Unit cell a=4.7646 b=4.7646 c=4.7646 alpha=60.00 beta=60.00 gamma=60.00
Fractional positions:
Ca 0.0000 0.0000 0.0000
Zn 0.7500 0.7500 0.7500
Fe 0.2500 0.2500 0.2500

***

VASP calculation (PBE) on an optimized crystal structure of Be2CuNi.

Unit cell a=4.3326 b=4.3326 c=4.3326 alpha=136.32 beta=136.32 gamma=63.48
Fractional positions:
Be 0.0000 0.0000 0.0000
Be 0.7500 0.2500 0.5000
Cu 0.2500 0.7500 0.5000
Ni 0.5000 0.5000 0.0000

***

VASP calculation (PBE) on an optimized crystal structure of TlSe2S.

Unit cell a=9.6768 b=9.6768 c=9.6768 alpha=21.51 beta=21.51 gamma=21.51
Fractional positions:
Tl 0.0000 0.0000 0.0000
Se 0.1128 0.1128 0.1128
Se 0.8872 0.8872 0.8872
S 0.5000 0.5000 0.5000

***

VASP calculation (PBE) on an optimized crystal structure of SrTeSe2Br.

Unit cell a=5.9039 b=5.9039 c=5.5617 alpha=90.00 beta=90.00 gamma=90.00
Fractional positions:
Sr 0.0000 0.0000 0.0000
Te 0.5000 0.5000 0.5000
Se 0.0000 0.5000 0.0000
Se 0.5000 0.0000 0.0000
Br 0.0000 0.0000 0.5000

***

VASP calculation (PBE) on an optimized crystal structure of K2AgI4.

Unit cell a=8.5664 b=6.5998 c=12.0257 alpha=90.00 beta=96.65 gamma=90.00
Fractional positions:
K 0.1761 0.2500 0.3871
K 0.2345 0.2500 0.9470
K 0.7655 0.7500 0.0530
K 0.8239 0.7500 0.6129
Ag 0.2956 0.7500 0.7165
Ag 0.7044 0.2500 0.2835
I 0.0731 0.7500 0.8728
I 0.1914 0.7500 0.4913
I 0.4421 0.5058 0.1955
I 0.4421 0.9942 0.1955
I 0.5579 0.0058 0.8045
I 0.5579 0.4942 0.8045
I 0.8086 0.2500 0.5087
I 0.9269 0.2500 0.1272

***

VASP calculation (PBE) on an optimized crystal structure of Ho12Al5Hg2.

Unit cell a=8.5964 b=8.5964 c=8.3053 alpha=92.52 beta=92.52 gamma=58.38
Fractional positions:
Ho 0.0392 0.0392 0.1987
Ho 0.0821 0.6347 0.0843
Ho 0.1288 0.5256 0.6578
Ho 0.3653 0.9179 0.9157
Ho 0.4417 0.4417 0.3377
Ho 0.4744 0.8712 0.3422
Ho 0.5256 0.1288 0.6578
Ho 0.5583 0.5583 0.6623
Ho 0.6347 0.0821 0.0843
Ho 0.8712 0.4744 0.3422
Ho 0.9179 0.3653 0.9157
Ho 0.9608 0.9608 0.8013
Al 0.1522 0.1522 0.5785
Al 0.2433 0.2433 0.1911
Al 0.5000 0.5000 0.0000
Al 0.7567 0.7567 0.8089
Al 0.8478 0.8478 0.4215
Hg 0.1927 0.8073 0.5000
Hg 0.8073 0.1927 0.5000

***

Number 1: calculated total energy -2.9550 eV per atom. Number 2: calculated total energy -4.5082 eV per atom. Number 3: calculated total energy -3.0802 eV per atom. Number 4: calculated total energy -2.7044 eV per atom. Number 5: calculated total energy -2.4853 eV per atom. Number 6: calculated total energy -3.9977 eV per atom.